No. 1
PrSm2B2N4 | PBE-GGA | relaxed

a = 6.429 Å, b = 6.429 Å, c = 6.429 Å
α = 148.27°, β = 121.93°, γ = 67.70°
Sites, in units of the cell vectors:
N1 0.624 0.879 0.745
N2 0.134 0.879 0.255
N3 0.866 0.121 0.745
N4 0.376 0.121 0.255
Sm1 0.798 0.298 0.500
Sm2 0.202 0.702 0.500
Pr1 0.500 0.500 0.000
B1 0.858 0.000 0.858
B2 0.142 0.000 0.142

VASP energy in eV per cell: -72.85


No. 2
TbSmB2Pt2N2 | PBE-GGA | relaxed

a = 3.762 Å, b = 3.762 Å, c = 7.643 Å
α = 90.00°, β = 90.00°, γ = 90.00°
Sites, in units of the cell vectors:
N1 0.000 0.000 0.141
N2 0.500 0.500 0.857
Tb1 0.000 0.000 0.838
B1 0.500 0.500 0.669
B2 0.000 0.000 0.330
Sm1 0.500 0.500 0.164
Pt1 0.000 0.500 0.501
Pt2 0.500 0.000 0.501

VASP energy in eV per cell: -60.56


No. 3
TbYB2Pt2N2 | PBE-GGA | relaxed

a = 3.744 Å, b = 3.744 Å, c = 7.589 Å
α = 90.00°, β = 90.00°, γ = 90.00°
Sites, in units of the cell vectors:
Pt1 0.000 0.500 0.500
Pt2 0.500 0.000 0.500
N1 0.500 0.500 0.139
N2 0.000 0.000 0.861
B1 0.000 0.000 0.671
B2 0.500 0.500 0.329
Tb1 0.000 0.000 0.163
Y1 0.500 0.500 0.837

VASP energy in eV per cell: -62.39


No. 4
Tc4BN | PBE-GGA | relaxed

a = 2.850 Å, b = 2.850 Å, c = 9.913 Å
α = 90.00°, β = 90.00°, γ = 120.00°
Sites, in units of the cell vectors:
N1 0.667 0.333 0.500
Tc1 0.333 0.667 0.361
Tc2 0.667 0.333 0.147
Tc3 0.667 0.333 0.853
Tc4 0.333 0.667 0.639
B1 0.333 0.667 0.000

VASP energy in eV per cell: -57.61